## Ho4Ga2Hg5 (GGA-PBE)

Data for a relaxed structure of Ho4Ga2Hg5.

Cell: 7.715 3.709 9.298 Å, 90.00 92.66 90.00°
Positions (direct):
Ho (0.194, 0.000, 0.363)
Ho (0.247, 0.000, 0.919)
Ho (0.753, 0.000, 0.081)
Ho (0.806, 0.000, 0.637)
Ga (0.066, 0.500, 0.127)
Ga (0.934, 0.500, 0.873)
Hg (0.148, 0.500, 0.637)
Hg (0.441, 0.500, 0.169)
Hg (0.500, 0.500, 0.500)
Hg (0.559, 0.500, 0.831)
Hg (0.852, 0.500, 0.363)

Output
Energy of formation from the pure elements ... -0.44 eV per atom
Calculated total energy ... -2.79 eV/atom

## HoGa2Hg (GGA-PBE)

Data for a relaxed structure of HoGa2Hg.

Cell: 4.431 4.431 4.255 Å, 90.00 90.00 90.00°
Positions (direct):
Ho (0.000, 0.000, 0.000)
Ga (0.000, 0.500, 0.500)
Ga (0.500, 0.000, 0.500)
Hg (0.500, 0.500, 0.000)

Output
Energy of formation from the pure elements ... -0.42 eV per atom
Polymorph energy (0 for the lowest one) ... 0.0 meV per atom
Calculated total energy ... -3.15 eV/atom